A plane-wave DFT calculation with PBE was carried out for a relaxed structure of TbAl2Cu6.

Structure (CIF):
```
data_TbAl2Cu6
_chemical_formula_sum 'Tb1 Al2 Cu6'
_space_group_name_H-M_alt 'P 1'
_space_group_IT_number 1
_cell_length_a 7.0003
_cell_length_b 7.0003
_cell_length_c 7.0003
_cell_angle_alpha 148.63
_cell_angle_beta 126.13
_cell_angle_gamma 63.68
loop_
_space_group_symop_operation_xyz
'x,y,z'
loop_
_atom_site_label
_atom_site_type_symbol
_atom_site_fract_x
_atom_site_fract_y
_atom_site_fract_z
Tb1 Tb 0.0000 0.0000 0.0000
Al1 Al 0.3739 0.8739 0.5000
Al2 Al 0.6261 0.1261 0.5000
Cu1 Cu 0.0112 0.3108 0.7004
Cu2 Cu 0.3204 0.5000 0.8204
Cu3 Cu 0.3896 0.6892 0.7004
Cu4 Cu 0.6104 0.3108 0.2996
Cu5 Cu 0.6796 0.5000 0.1796
Cu6 Cu 0.9888 0.6892 0.2996
```

The calculation puts the theoretical density at 6.9 Mg/m³. The calculation puts the formation energy from the elements at -0.08 eV/atom. Its crystal system is orthorhombic.

---

A plane-wave DFT calculation with PBE was carried out for a relaxed structure of TbAl3Cu8.

Structure (CIF):
```
data_TbAl3Cu8
_chemical_formula_sum 'Tb1 Al3 Cu8'
_space_group_name_H-M_alt 'P 1'
_space_group_IT_number 1
_cell_length_a 4.9097
_cell_length_b 4.9097
_cell_length_c 8.2115
_cell_angle_alpha 90.00
_cell_angle_beta 90.00
_cell_angle_gamma 120.00
loop_
_space_group_symop_operation_xyz
'x,y,z'
loop_
_atom_site_label
_atom_site_type_symbol
_atom_site_fract_x
_atom_site_fract_y
_atom_site_fract_z
Tb1 Tb 0.0000 0.0000 0.0000
Al1 Al 0.0000 0.0000 0.3849
Al2 Al 0.6667 0.3333 0.4831
Al3 Al 0.6667 0.3333 0.8331
Cu1 Cu 0.1642 0.3284 0.6727
Cu2 Cu 0.1642 0.8358 0.6727
Cu3 Cu 0.3333 0.6667 0.4318
Cu4 Cu 0.3333 0.6667 0.9244
Cu5 Cu 0.5026 0.0052 0.1935
Cu6 Cu 0.5026 0.4974 0.1935
Cu7 Cu 0.6716 0.8358 0.6727
Cu8 Cu 0.9948 0.4974 0.1935
```

The calculation puts the theoretical density at 7.2 Mg/m³. The calculation puts the formation energy from the elements at -0.18 eV/atom. Its crystal system is trigonal.

---

Number 1: total magnetic moment 0.000 μB/atom. Number 2: total magnetic moment 0.000 μB/atom.